Below is a relaxed structure of KTiCrO4, with properties calculated at the GGA+U level.

Cell lengths 5.4163, 5.5439, 7.1414 Å; angles 90.00, 102.58, 90.00 degrees
Last column: nearest neighbours and their distance in Å.
Space group P2_1/m (No. 11)
Asymmetric unit:
K (0.1273, 0.2500, 0.1101) x2  6 O 2.63-2.93
Ti (0.3987, 0.2500, 0.6578) x2  4 O 1.79-1.90
Cr (0.1392, 0.7500, 0.4648) x2  6 O 2.04-2.15
O (0.1478, 0.0143, 0.6687) x4  1 Ti 1.90, 2 Cr 2.06-2.09
O (0.2775, 0.7500, 0.2048) x2  1 Ti 1.81
O (0.4797, 0.2500, 0.4283) x2  1 Ti 1.79

Calculated values
**Uncorrected energy**: -103.4 eV/cell
**Crystal system**: monoclinic
**Magnetization**: 3.0 μB per formula unit